# PBE LiReNi, optimized geometry
data_LiReNi
_symmetry_space_group_name_H-M 'F m m m'
_symmetry_Int_Tables_number 69
_symmetry_space_group_name_Hall '-F 2 2'
_cell_length_a 4.718
_cell_length_b 7.818
_cell_length_c 8.488
_cell_angle_alpha 90.00
_cell_angle_beta 90.00
_cell_angle_gamma 90.00
loop_
_atom_site_label
_atom_site_type_symbol
_atom_site_fract_x
_atom_site_fract_y
_atom_site_fract_z
Li1 Li 0.000 0.000 0.152
Re1 Re 0.000 0.164 0.500
Ni1 Ni 0.250 0.250 0.250
# offset from the most stable computed form	0.00	eV per formula unit
# density	10687	kg/m3
# energy of formation from the pure elements	0.051	eV/atom